Record 1
VASP calculation (PBE) on crystalline LaTl3In3I8 at its relaxed geometry.

Unit cell a=10.016 b=10.037 c=10.005 alpha=120.25 beta=90.00 gamma=119.93
Last column: magnetic moment on the atom in μB.
Positions (direct):
I 0.772 0.002 0.275  0.00
I 0.230 0.002 0.275  0.00
I 0.251 0.503 0.254  0.00
I 0.770 0.998 0.725  0.00
I 0.228 0.998 0.725  0.00
I 0.228 0.455 0.725  0.00
I 0.749 0.497 0.746  0.00
I 0.772 0.545 0.275  0.00
Tl 0.000 0.000 0.000  0.00
Tl 0.500 0.500 0.000  0.00
Tl 0.000 0.500 0.000  0.00
La 0.000 0.000 0.500  0.21
In 0.500 0.500 0.500  0.00
In 0.500 0.000 0.500  0.00
In 0.000 0.500 0.500  0.00

Output
Space-group type: C2/m, No. 12
Magnetization: 0.02 μB/atom
Calculated volume: 709.3 Å³/f.u.
Energy relative to the elements, uncorrected: -0.71 eV per atom

Record 2
VASP calculation (PBE) on crystalline YTiO2 at its relaxed geometry.

Unit cell a=4.929 b=4.929 c=6.113 alpha=66.22 beta=66.22 gamma=90.00
Positions (direct):
Y 0.750 0.250 0.500
Y 0.000 0.000 0.000
Ti 0.250 0.750 0.500
Ti 0.500 0.500 0.000
O 0.170 0.625 0.250
O 0.875 0.830 0.750
O 0.375 0.420 0.750
O 0.580 0.125 0.250

Output
Space-group type: I-42d, No. 122
Magnetization: 0.00 μB/atom
Calculated volume: 61.0 Å³/f.u.
Energy relative to the elements, uncorrected: -2.37 eV per atom

Record 3
VASP calculation (PBE) on crystalline KSbP2O at its relaxed geometry.

Unit cell a=5.307 b=5.307 c=4.155 alpha=90.00 beta=90.00 gamma=90.00
Last column: magnetic moment on the atom in μB.
Positions (direct):
Sb 0.000 0.000 0.000  -0.01
K 0.500 0.500 0.500  0.02
P 0.500 0.000 0.000  0.45
P 0.000 0.500 0.000  0.45
O 0.000 0.000 0.500  0.14

Output
Space-group type: P4/mmm, No. 123
Magnetization: 0.44 μB/atom
Relative energy among the computed polymorphs: 0 meV per atom
Calculated volume: 117.0 Å³/f.u.
Energy relative to the elements, uncorrected: 0.14 eV per atom

Record 4
VASP calculation (PBE) on crystalline Pm4Nd7Tm at its relaxed geometry.

Unit cell a=6.078 b=9.882 c=8.763 alpha=60.29 beta=69.71 gamma=72.09
Last column: magnetic moment on the atom in μB.
Positions (direct):
Nd 0.500 0.000 0.000  0.11
Nd 0.207 0.777 0.809  0.00
Nd 0.793 0.223 0.191  0.00
Nd 0.793 0.875 0.540  0.00
Nd 0.081 0.565 0.274  0.01
Nd 0.207 0.125 0.460  0.00
Nd 0.919 0.435 0.726  0.01
Pm 0.674 0.611 0.042  0.01
Pm 0.426 0.699 0.448  0.01
Pm 0.574 0.301 0.552  0.01
Pm 0.326 0.389 0.958  0.01
Tm 0.000 0.000 0.000  0.14

Output
Space-group type: C2/m, No. 12
Formation enthalpy at 0 K: 214 meV per atom
Magnetization: 0.03 μB/atom
Relative energy among the computed polymorphs: 202 meV per atom
Calculated volume: 422.8 Å³/f.u.

Record 5
VASP calculation (PBE) on crystalline Ta4Al5 at its relaxed geometry.

Unit cell a=6.554 b=6.554 c=6.554 alpha=94.80 beta=94.80 gamma=146.36
Positions (direct):
Al 0.670 0.330 0.000
Al 0.000 0.000 0.000
Al 0.330 0.670 0.000
Al 0.670 0.670 0.341
Al 0.330 0.330 0.659
Ta 0.000 0.679 0.679
Ta 0.000 0.321 0.321
Ta 0.321 0.000 0.321
Ta 0.679 0.000 0.679

Output
Space-group type: I4/mmm, No. 139
Formation enthalpy at 0 K: -243 meV per atom
Magnetization: 0.00 μB/atom
Relative energy among the computed polymorphs: 0 meV per atom
Calculated volume: 149.3 Å³/f.u.

Record 6
VASP calculation (PBE) on crystalline KMn3In at its relaxed geometry.

Unit cell a=5.284 b=5.284 c=5.284 alpha=90.00 beta=90.00 gamma=90.00
Last column: magnetic moment on the atom in μB.
Positions (direct):
In 0.000 0.000 0.000  -0.09
Mn 0.000 0.000 0.500  4.20
Mn 0.500 0.000 0.000  3.96
Mn 0.000 0.500 0.000  4.07
K 0.500 0.500 0.500  -0.01

Output
Space-group type: Pm-3m, No. 221
Formation enthalpy at 0 K: 1048 meV per atom
Magnetization: 2.60 μB/atom
Relative energy among the computed polymorphs: 0 meV per atom
Calculated volume: 147.5 Å³/f.u.

Record 7
VASP calculation (PBE) on crystalline CsH3Ru at its relaxed geometry.

Unit cell a=4.544 b=4.544 c=4.544 alpha=90.00 beta=90.00 gamma=90.00
Last column: magnetic moment on the atom in μB.
Positions (direct):
H 0.500 0.000 0.000  0.00
H 0.000 0.500 0.000  0.00
H 0.000 0.000 0.500  0.01
Cs 0.000 0.000 0.000  0.02
Ru 0.500 0.500 0.500  2.83

Output
Space-group type: Pm-3m, No. 221
Magnetization: 0.68 μB/atom
Relative energy among the computed polymorphs: 1674 meV per atom
Calculated volume: 93.8 Å³/f.u.

Record 8
VASP calculation (PBE) on crystalline TaRhW at its relaxed geometry.

Unit cell a=2.750 b=4.774 c=7.686 alpha=90.00 beta=90.00 gamma=90.00
Positions (direct):
W 0.000 0.500 0.270
W 0.500 0.000 0.730
Ta 0.500 0.500 0.936
Ta 0.000 0.000 0.064
Rh 0.500 0.500 0.584
Rh 0.000 0.000 0.416

Output
Space-group type: Pmmn, No. 59
Formation enthalpy at 0 K: 184 meV per atom
Magnetization: 0.00 μB/atom
Relative energy among the computed polymorphs: 348 meV per atom
Calculated volume: 50.5 Å³/f.u.

Record 9
VASP calculation (PBE) on crystalline Sm12Tm6Mg at its relaxed geometry.

Unit cell a=8.647 b=8.647 c=8.647 alpha=97.44 beta=97.44 gamma=97.44
Positions (direct):
Tm 0.863 0.862 0.593
Tm 0.593 0.863 0.862
Tm 0.138 0.407 0.137
Tm 0.862 0.593 0.863
Tm 0.407 0.137 0.138
Tm 0.137 0.138 0.407
Sm 0.261 0.739 0.000
Sm 0.739 0.000 0.261
Sm 0.582 0.169 0.582
Sm 0.000 0.739 0.261
Sm 0.418 0.831 0.418
Sm 0.831 0.418 0.418
Sm 0.000 0.261 0.739
Sm 0.418 0.418 0.831
Sm 0.739 0.261 0.000
Sm 0.169 0.582 0.582
Sm 0.261 0.000 0.739
Sm 0.582 0.582 0.169
Mg 0.000 0.000 0.000

Output
Space-group type: R-3m, No. 166
Formation enthalpy at 0 K: 137 meV per atom
Magnetization: 0.00 μB/atom
Relative energy among the computed polymorphs: 9 meV per atom
Calculated volume: 628.7 Å³/f.u.

Record 10
VASP calculation (PBE) on crystalline Mn3CoI9 at its relaxed geometry.

Unit cell a=9.957 b=10.795 c=12.184 alpha=75.05 beta=65.88 gamma=62.54
Last column: magnetic moment on the atom in μB.
Positions (direct):
I 0.843 0.094 0.011  0.07
I 0.775 0.949 0.379  0.04
I 0.304 0.274 0.942  0.03
I 0.053 0.594 0.511  0.07
I 0.479 0.774 0.442  0.03
I 0.497 0.484 0.248  0.08
I 0.896 0.449 0.879  0.04
I 0.373 0.148 0.318  0.02
I 0.767 0.732 0.070  0.04
I 0.771 0.984 0.748  0.08
I 0.255 0.907 0.124  0.07
I 0.523 0.838 0.702  0.02
I 0.162 0.648 0.818  0.02
I 0.714 0.407 0.624  0.07
I 0.431 0.232 0.570  0.04
I 0.152 0.070 0.629  0.03
I 0.937 0.338 0.202  0.02
I 0.150 0.570 0.129  0.03
Mn 0.016 0.929 0.825  4.24
Mn 0.546 0.245 0.731  4.22
Mn 0.784 0.587 0.693  4.27
Mn 0.478 0.745 0.231  4.22
Mn 0.936 0.087 0.193  4.27
Mn 0.231 0.429 0.325  4.24
Co 0.032 0.502 0.005  0.36
Co 0.461 0.002 0.505  0.36

Output
Space-group type: Cc, No. 9
Magnetization: 1.15 μB/atom
Calculated volume: 528.3 Å³/f.u.
Energy relative to the elements, uncorrected: -0.21 eV per atom

Record 11
VASP calculation (PBE) on crystalline DyPuTlRu at its relaxed geometry.

Unit cell a=3.345 b=3.345 c=8.412 alpha=90.00 beta=90.00 gamma=90.00
Last column: magnetic moment on the atom in μB.
Positions (direct):
Tl 0.000 0.000 0.071  -0.05
Ru 0.000 0.000 0.570  -0.51
Dy 0.500 0.500 0.776  0.04
Pu 0.500 0.500 0.368  5.10

Output
Space-group type: P4mm, No. 99
Formation enthalpy at 0 K: -245 meV per atom
Magnetization: 1.17 μB/atom
Relative energy among the computed polymorphs: 0 meV per atom
Calculated volume: 94.1 Å³/f.u.

Record 12
VASP calculation (PBE) on crystalline BeGe2SbRu at its relaxed geometry.

Unit cell a=5.352 b=4.273 c=5.352 alpha=90.00 beta=90.00 gamma=90.00
Last column: magnetic moment on the atom in μB.
Positions (direct):
Ge 0.000 0.000 0.500  -0.06
Ge 0.500 0.000 0.000  -0.06
Be 0.000 0.500 0.000  -0.01
Ru 0.500 0.500 0.500  2.03
Sb 0.000 0.000 0.000  -0.01

Output
Space-group type: P4/mmm, No. 123
Magnetization: 0.38 μB/atom
Calculated volume: 122.4 Å³/f.u.
Energy relative to the elements, uncorrected: 1.59 eV per atom